# 1
Entry from the Alexandria database: crystalline Sb2AsIr at its relaxed geometry (GGA-PBE).

Cell: 3.1439 3.4694 7.7500 Å, 90.00 90.69 90.00°
Atoms (fractional coordinates):
Sb 0.0097 0.0000 0.2148
Sb 0.9903 0.0000 0.7852
As 0.5000 0.5000 0.5000
Ir 0.5000 0.5000 0.0000

Magnetic moment   0.0 Bohr magnetons per cell
E   -20.9 eV for the cell shown
DOS at the Fermi energy   2.5 states/eV/f.u.
Formation energy without anion corrections   0.22 eV per atom
Energy above the lowest structure with this stoichiometry   267 meV per atom

# 2
Entry from the Alexandria database: crystalline In4Hg8Pb3 at its relaxed geometry (GGA-PBE).

Cell: 8.7695 8.7695 7.0389 Å, 113.50 113.50 88.71°
Atoms (fractional coordinates):
In 0.0000 0.0000 0.0000
In 0.0000 0.0000 0.5000
In 0.0000 0.5000 0.0000
In 0.5000 0.0000 0.0000
Hg 0.2444 0.7556 0.0000
Hg 0.2549 0.7451 0.5000
Hg 0.2583 0.2583 0.0289
Hg 0.2579 0.2579 0.4907
Hg 0.7421 0.7421 0.5093
Hg 0.7417 0.7417 0.9711
Hg 0.7451 0.2549 0.5000
Hg 0.7556 0.2444 0.0000
Pb 0.0000 0.5000 0.5000
Pb 0.5000 0.0000 0.5000
Pb 0.5000 0.5000 0.0000

Magnetic moment   0.0 Bohr magnetons per cell
E   -23.6 eV for the cell shown
Calculated formation energy   0.062 eV/atom
DOS at the Fermi energy   6.6 states/eV/f.u.
Energy above the lowest structure with this stoichiometry   31 meV per atom

# 3
Entry from the Alexandria database: crystalline Ir2PtAu at its relaxed geometry (GGA-PBE).

Cell: 2.7945 2.7945 8.0394 Å, 90.00 90.00 90.00°
Atoms (fractional coordinates):
Ir 0.0000 0.0000 0.0000
Ir 0.5000 0.5000 0.2204
Pt 0.0000 0.0000 0.4634
Au 0.5000 0.5000 0.7340

Magnetic moment   0.0 Bohr magnetons per cell
E   -26.6 eV for the cell shown
Calculated formation energy   0.115 eV/atom
DOS at the Fermi energy   3.3 states/eV/f.u.
Energy above the lowest structure with this stoichiometry   6 meV per atom

# 4
Entry from the Alexandria database: crystalline Er2Sc7In2 at its relaxed geometry (GGA-PBE).

Cell: 6.0978 6.0978 7.9339 Å, 101.15 101.15 97.38°
Atoms (fractional coordinates):
Er 0.1851 0.8149 0.0000
Er 0.8149 0.1851 0.0000
Sc 0.0251 0.3864 0.6769
Sc 0.3589 0.3589 0.0826
Sc 0.3864 0.0251 0.6769
Sc 0.5000 0.5000 0.5000
Sc 0.6136 0.9749 0.3231
Sc 0.6411 0.6411 0.9174
Sc 0.9749 0.6136 0.3231
In 0.1261 0.1261 0.3421
In 0.8739 0.8739 0.6579

Magnetic moment   0.0 Bohr magnetons per cell
E   -60.1 eV for the cell shown
Calculated formation energy   -0.106 eV/atom
DOS at the Fermi energy   11.7 states/eV/f.u.

# 5
Entry from the Alexandria database: crystalline ReSiOs2 at its relaxed geometry (GGA-PBE).

Cell: 4.5968 4.5968 2.7923 Å, 90.00 90.00 106.71°
Atoms (fractional coordinates):
Re 0.0000 0.0000 0.0000
Si 0.5000 0.5000 0.0000
Os 0.0000 0.5000 0.5000
Os 0.5000 0.0000 0.5000

Magnetic moment   0.0 Bohr magnetons per cell
E   -39.7 eV for the cell shown
DOS at the Fermi energy   3.8 states/eV/f.u.
Formation energy without anion corrections   0.16 eV per atom

# 6
Entry from the Alexandria database: crystalline ZrV2C at its relaxed geometry (GGA-PBE).

Cell: 4.9091 4.9091 7.0229 Å, 90.00 90.00 142.10°
Atoms (fractional coordinates):
Zr 0.0444 0.9556 0.7500
Zr 0.9556 0.0444 0.2500
V 0.3385 0.6615 0.5604
V 0.3385 0.6615 0.9396
V 0.6615 0.3385 0.0604
V 0.6615 0.3385 0.4396
C 0.2371 0.7629 0.2500
C 0.7629 0.2371 0.7500

Magnetic moment   0.0 Bohr magnetons per cell
E   -74.3 eV for the cell shown
Calculated formation energy   -0.285 eV/atom
DOS at the Fermi energy   3.2 states/eV/f.u.

> Number 3 is which compound?

Ir2PtAu